[1]
Compound: CoTeBr2
Source: Alexandria
Functional: GGA-PBEsol
Structure: relaxed

## Properties
- SG = P4/mmm
- total DFT energy (no corrections) (eV/cell) = -11.919
- DOS at the Fermi energy (states/eV/atom) = 1.59

Cell: 5.1443 5.1443 3.3150 Å, 90.00 90.00 90.00°
Fractional coordinates of all 4 atoms:
Co 0.0000 0.0000 0.0000
Te 0.5000 0.5000 0.0000
Br 0.0000 0.5000 0.5000
Br 0.5000 0.0000 0.5000

***

[2]
Compound: Co2TeBr
Source: Alexandria
Functional: GGA-PBEsol
Structure: relaxed

## Properties
- SG = C2/m
- total DFT energy (no corrections) (eV/cell) = -39.220
- DOS at the Fermi energy (states/eV/atom) = 0.89

Cell: 6.3289 3.6681 6.2696 Å, 90.00 109.82 90.00°
Fractional coordinates of all 8 atoms:
Co 0.2372 0.0000 0.2121
Co 0.2628 0.5000 0.7879
Co 0.7372 0.5000 0.2121
Co 0.7628 0.0000 0.7879
Te 0.0000 0.5000 0.0000
Te 0.5000 0.0000 0.0000
Br 0.0000 0.0000 0.5000
Br 0.5000 0.5000 0.5000

***

[3]
Compound: CoW3Br
Source: Alexandria
Functional: GGA-PBEsol
Structure: relaxed

## Properties
- SG = Pm-3m
- total DFT energy (no corrections) (eV/cell) = -41.740
- DOS at the Fermi energy (states/eV/atom) = 0.82

Cell: 4.4860 4.4860 4.4860 Å, 90.00 90.00 90.00°
Fractional coordinates of all 5 atoms:
Co 0.0000 0.0000 0.0000
W 0.0000 0.0000 0.5000
W 0.0000 0.5000 0.0000
W 0.5000 0.0000 0.0000
Br 0.5000 0.5000 0.5000

***

[4]
Compound: CoW2Br
Source: Alexandria
Functional: GGA-PBEsol
Structure: relaxed

## Properties
- SG = Pm
- total DFT energy (no corrections) (eV/cell) = -35.136
- DOS at the Fermi energy (states/eV/atom) = 0.93

Cell: 3.1640 3.0706 6.9380 Å, 90.00 91.65 90.00°
Fractional coordinates of all 4 atoms:
Co 0.0000 0.0000 0.0000
W 0.0041 0.0000 0.6132
W 0.4902 0.5000 0.8333
Br 0.9584 0.5000 0.3039

***

[5]
Compound: CoW2Br
Source: Alexandria
Functional: GGA-PBEsol
Structure: relaxed

## Properties
- SG = P4/mmm
- total DFT energy (no corrections) (eV/cell) = -33.709
- DOS at the Fermi energy (states/eV/atom) = 0.64

Cell: 4.4840 4.4840 2.8144 Å, 90.00 90.00 90.00°
Fractional coordinates of all 4 atoms:
Co 0.0000 0.0000 0.0000
W 0.0000 0.5000 0.5000
W 0.5000 0.0000 0.5000
Br 0.5000 0.5000 0.0000

***

[6]
Compound: CoWBr3
Source: Alexandria
Functional: GGA-PBEsol
Structure: relaxed

## Properties
- SG = Pm-3m
- total DFT energy (no corrections) (eV/cell) = -21.478
- DOS at the Fermi energy (states/eV/atom) = 2.12

Cell: 5.0036 5.0036 5.0036 Å, 90.00 90.00 90.00°
Fractional coordinates of all 5 atoms:
Co 0.0000 0.0000 0.0000
W 0.5000 0.5000 0.5000
Br 0.0000 0.5000 0.5000
Br 0.5000 0.0000 0.5000
Br 0.5000 0.5000 0.0000